Entry from Alexandria via LeMat-Bulk: a relaxed Li4Np3CrN8 crystal (PBE-GGA).

Results
formation energy (no corrections): -12.5 eV per formula unit
total energy: -135.16 eV per formula unit
space-group type: R-3m

a b c (Å): 6.331 6.331 6.331
angles (deg): 63.04 63.04 63.04
Positions (direct):
Li  0.000  0.000  0.000
Li  0.000  0.500  0.500
Li  0.500  0.000  0.500
Li  0.500  0.500  0.000
Np  0.000  0.000  0.500
Np  0.000  0.500  0.000
Np  0.500  0.000  0.000
Cr  0.500  0.500  0.500
N  0.237  0.736  0.736
N  0.239  0.239  0.239
N  0.264  0.264  0.763
N  0.264  0.763  0.264
N  0.736  0.237  0.736
N  0.736  0.736  0.237
N  0.761  0.761  0.761
N  0.763  0.264  0.264